1.
Material: Cr2CdOs
Method: DFT, meta-GGA SCAN
State: single point on PBEsol structure

POSCAR file:
```
Cr2CdOs
1.0
2.876 0.000 0.000
0.000 2.876 0.000
0.000 0.000 6.879
Cr Cd Os
2 1 1
Direct
0.000 0.000 0.000
0.500 0.500 0.193
0.500 0.500 0.707
0.000 0.000 0.406
```

- Magnetic moment: 2.0 Bohr magnetons per cell
- Symmetry: P4mm (99)
- Electronic total energy: -34.5402 eV per atom
- ΔE_f: 226 meV/atom

=====

2.
Material: Cr2CdOs
Method: DFT, meta-GGA SCAN
State: single point on PBEsol structure

POSCAR file:
```
Cr2CdOs
1.0
3.836 0.000 0.000
0.000 3.836 0.000
0.000 0.000 3.730
Cr Cd Os
2 1 1
Direct
0.000 0.500 0.000
0.500 0.000 0.000
0.000 0.000 0.500
0.500 0.500 0.500
```

- Magnetic moment: 1.4 Bohr magnetons per cell
- Symmetry: P4/mmm (123)
- Electronic total energy: -34.1357 eV per atom
- ΔE_f: 630 meV/atom

=====

3.
Material: CrCd2Os
Method: DFT, meta-GGA SCAN
State: single point on PBEsol structure

POSCAR file:
```
CrCd2Os
1.0
3.886 0.000 0.000
0.000 3.886 0.000
0.000 0.000 8.577
Cr Cd Os
2 4 2
Direct
0.000 0.000 0.000
0.500 0.500 0.500
0.000 0.500 0.250
0.000 0.500 0.750
0.500 0.000 0.250
0.500 0.000 0.750
0.000 0.000 0.500
0.500 0.500 0.000
```

- Magnetic moment: 5.8 Bohr magnetons per cell
- Symmetry: I4/mmm (139)
- Energy above the most stable polymorph in this dataset: 0 meV/atom
- Electronic total energy: -37.3338 eV per atom
- ΔE_f: 440 meV/atom

=====

4.
Material: Cr2CdOs
Method: DFT, meta-GGA SCAN
State: single point on PBEsol structure

POSCAR file:
```
Cr2CdOs
1.0
3.967 0.000 0.000
0.000 3.967 0.000
0.000 0.000 7.125
Cr Cd Os
4 2 2
Direct
0.000 0.500 0.250
0.000 0.500 0.750
0.500 0.000 0.250
0.500 0.000 0.750
0.000 0.000 0.000
0.500 0.500 0.500
0.000 0.000 0.500
0.500 0.500 0.000
```

- Magnetic moment: 11.2 Bohr magnetons per cell
- Symmetry: I4/mmm (139)
- Electronic total energy: -34.3329 eV per atom
- ΔE_f: 433 meV/atom

=====

5.
Material: CrCd2Os
Method: DFT, meta-GGA SCAN
State: single point on PBEsol structure

POSCAR file:
```
CrCd2Os
1.0
4.105 0.000 0.000
0.000 4.105 0.000
0.000 0.000 7.609
Cr Cd Os
2 4 2
Direct
0.000 0.000 0.000
0.500 0.500 0.500
0.000 0.000 0.500
0.000 0.500 0.250
0.500 0.000 0.750
0.500 0.500 0.000
0.000 0.500 0.750
0.500 0.000 0.250
```

- Magnetic moment: 6.0 Bohr magnetons per cell
- Symmetry: I-4m2 (119)
- Energy above the most stable polymorph in this dataset: 48 meV/atom
- Electronic total energy: -37.2861 eV per atom
- ΔE_f: 487 meV/atom

=====

6.
Material: Cr2CdOs
Method: DFT, meta-GGA SCAN
State: single point on PBEsol structure

POSCAR file:
```
Cr2CdOs
1.0
2.731 0.000 0.000
0.000 3.667 0.000
-0.114 0.000 5.666
Cr Cd Os
2 1 1
Direct
0.000 0.000 0.000
0.424 0.500 0.204
0.477 0.500 0.712
0.973 0.000 0.402
```

- Magnetic moment: 0.0 Bohr magnetons per cell
- Symmetry: Pm (6)
- Electronic total energy: -34.3198 eV per atom
- ΔE_f: 446 meV/atom

=====

Q: magnetic moment of number 6 (Cr2CdOs)?
A: 0.0 Bohr magnetons per cell

=====

Q: Number 1 is which compound?
A: Cr2CdOs